CrCuI2O PBE with a Hubbard U optimized geometry; magnetization = 2.9 μB per cell; total energy = -4.113 eV per atom; ΔE to the lowest computed polymorph = 0.000 eV/atom
1.0
5.6852 0.0000 0.0000
0.0000 5.6852 0.0000
0.0000 0.0000 3.6777
Cr Cu I O
1 1 2 1
Cartesian
0.0000 0.0000 0.0000
2.8426 2.8426 1.8389
0.0000 2.8426 0.0000
2.8426 0.0000 0.0000
0.0000 0.0000 1.8389